No. 1
The following is a DFT calculation (PBE) of a geometry-optimized KBaTe2N structure.

Summary:
Relative energy among the computed polymorphs = 0 meV/atom
Uncorrected energy = -3.310 eV/atom
Magnetization = 0.783 μB/atom
SG = No. 123
Raw formation energy = 0.216 eV/atom

Cell lengths 6.7299, 6.7299, 5.3366 Å; angles 90.00, 90.00, 90.00 degrees
Each line ends with the local moment (μB).
Element x y z (fractional)
K  0.5000  0.5000  0.5000  0.00
Ba  0.0000  0.0000  0.0000  0.03
Te  0.5000  0.0000  0.0000  0.42
N  0.0000  0.0000  0.5000  1.43
Te  0.0000  0.5000  0.0000  0.42

No. 2
The following is a DFT calculation (PBE) of a geometry-optimized KBaTe2N structure.

Summary:
Relative energy among the computed polymorphs = 315 meV/atom
Uncorrected energy = -2.995 eV/atom
Magnetization = 0.088 μB/atom
SG = No. 123
Raw formation energy = 0.530 eV/atom

Cell lengths 6.1021, 6.1021, 4.9494 Å; angles 90.00, 90.00, 90.00 degrees
Each line ends with the local moment (μB).
Element x y z (fractional)
Ba  0.5000  0.5000  0.5000  0.00
Te  0.5000  0.0000  0.0000  -0.02
Te  0.0000  0.5000  0.0000  -0.02
N  0.0000  0.0000  0.5000  0.32
K  0.0000  0.0000  0.0000  0.05

No. 3
The following is a DFT calculation (PBE) of a geometry-optimized KBaU4N8 structure.

Summary:
Uncorrected energy = -9.328 eV/atom
Magnetization = 0.220 μB/atom
SG = No. 160
Raw formation energy = -1.129 eV/atom

Cell lengths 7.0130, 7.0130, 7.7271 Å; angles 63.01, 63.01, 60.00 degrees
Each line ends with the local moment (μB).
Element x y z (fractional)
N  0.7938  0.7938  0.6187  -0.04
N  0.2219  0.2219  0.3344  -0.04
Ba  0.3587  0.3587  0.9240  0.02
N  0.7361  0.7361  0.3159  -0.05
U  0.5289  0.5289  0.4134  0.99
U  0.5097  0.0052  0.4799  0.74
N  0.7817  0.3025  0.6133  -0.04
U  0.0052  0.0052  0.4799  0.74
N  0.3025  0.7817  0.6133  -0.04
K  0.0059  0.0059  0.9823  0.00
N  0.7361  0.2118  0.3159  -0.05
N  0.2118  0.7361  0.3159  -0.05
N  0.3025  0.3025  0.6133  -0.04
U  0.0052  0.5097  0.4799  0.74

No. 4
The following is a DFT calculation (PBE) of a geometry-optimized KBaUN3 structure.

Summary:
Uncorrected energy = -7.376 eV/atom
Magnetization = 0.000 μB/atom
SG = No. 15
Raw formation energy = -0.828 eV/atom

Cell lengths 6.0762, 6.3945, 7.5525 Å; angles 64.95, 86.42, 81.51 degrees
Element x y z (fractional)
K  0.2500  0.2356  0.5289
Ba  0.2500  0.5908  0.8185
N  0.9921  0.7764  0.0537
N  0.0079  0.2236  0.9463
N  0.7500  0.2095  0.5811
U  0.7500  0.0660  0.8680
N  0.5079  0.1699  0.0537
N  0.2500  0.7905  0.4189
K  0.7500  0.7644  0.4711
Ba  0.7500  0.4092  0.1815
N  0.4921  0.8301  0.9463
U  0.2500  0.9340  0.1320

No. 5
The following is a DFT calculation (PBE) of a geometry-optimized KBa2ZrN structure.

Summary:
Uncorrected energy = -3.989 eV/atom
Magnetization = 0.099 μB/atom
SG = No. 123
Raw formation energy = 0.374 eV/atom

Cell lengths 7.0871, 4.2209, 7.0871 Å; angles 90.00, 90.00, 90.00 degrees
Each line ends with the local moment (μB).
Element x y z (fractional)
K  0.5000  0.5000  0.5000  0.00
Zr  0.0000  0.0000  0.0000  0.16
Ba  0.0000  0.0000  0.5000  0.07
Ba  0.5000  0.0000  0.0000  0.03
N  0.0000  0.5000  0.0000  0.00

No. 6
The following is a DFT calculation (PBE) of a geometry-optimized KBa2Na16 structure.

Summary:
Formation energy from the elements = 0.018 eV/atom
Uncorrected energy = -1.353 eV/atom
Magnetization = 0.000 μB/atom
SG = No. 160

Cell lengths 9.3438, 9.3438, 9.3438 Å; angles 82.55, 82.55, 82.55 degrees
Element x y z (fractional)
Na  0.1104  0.1104  0.1104
Na  0.9997  0.3102  0.6914
Ba  0.3435  0.3435  0.3435
Na  0.6914  0.9997  0.3102
Na  0.0055  0.4878  0.0055
Na  0.3102  0.6914  0.9997
K  0.9037  0.9037  0.9037
Ba  0.6468  0.6468  0.6468
Na  0.9997  0.6914  0.3102
Na  0.6443  0.1649  0.6443
Na  0.0055  0.0055  0.4878
Na  0.3485  0.8435  0.3485
Na  0.4878  0.0055  0.0055
Na  0.6914  0.3102  0.9997
Na  0.3485  0.3485  0.8435
Na  0.3102  0.9997  0.6914
Na  0.6443  0.6443  0.1649
Na  0.1649  0.6443  0.6443
Na  0.8435  0.3485  0.3485

No. 7
The following is a DFT calculation (PBE) of a geometry-optimized KBa2Na9 structure.

Summary:
Formation energy from the elements = 0.012 eV/atom
Uncorrected energy = -1.389 eV/atom
Magnetization = 0.000 μB/atom
SG = No. 166

Cell lengths 7.2763, 7.2763, 12.5359 Å; angles 73.13, 73.13, 60.00 degrees
Element x y z (fractional)
Na  0.5870  0.5870  0.7468
Na  0.4130  0.9207  0.2532
Na  0.9207  0.4130  0.2532
Na  0.3341  0.3341  0.9978
Ba  0.1436  0.1436  0.5691
Na  0.6659  0.6659  0.0022
K  0.0000  0.0000  0.0000
Na  0.4130  0.4130  0.2532
Na  0.5870  0.0793  0.7468
Ba  0.8564  0.8564  0.4309
Na  0.0793  0.5870  0.7468
Na  0.5000  0.5000  0.5000

No. 8
The following is a DFT calculation (PBE) of a geometry-optimized K4BaNa2 structure.

Summary:
Formation energy from the elements = 0.051 eV/atom
Uncorrected energy = -1.228 eV/atom
Magnetization = 0.000 μB/atom
SG = No. 65

Cell lengths 4.4808, 6.8417, 14.2232 Å; angles 103.92, 90.00, 90.00 degrees
Element x y z (fractional)
Ba  0.0000  0.0000  0.0000
Na  0.5000  0.4371  0.8741
K  0.5000  0.1450  0.2900
K  0.0000  0.3013  0.6026
Na  0.5000  0.5629  0.1259
K  0.0000  0.6987  0.3974
K  0.5000  0.8550  0.7100

What is the uncorrected energy in the second record?
-2.995 eV/atom

Among the records above, which one has the lowest uncorrected energy?
KBaU4N8